[1]
Below is an optimized crystal structure of LiTh2Sn3, with properties calculated at the PBE level.

Structure (CIF):
```
data_LiTh2Sn3
_cell_length_a 13.7825
_cell_length_b 8.8676
_cell_length_c 5.6984
_cell_angle_alpha 90.00
_cell_angle_beta 90.00
_cell_angle_gamma 90.00
_space_group_name_H-M_alt 'C m c m'
_space_group_IT_number 63
_space_group_name_Hall '-C 2c 2'
loop_
_atom_site_label
_atom_site_type_symbol
_atom_site_fract_x
_atom_site_fract_y
_atom_site_fract_z
_atom_site_occupancy
Li1 Li 0.0000 0.0550 0.2500 1
Th1 Th 0.1347 0.3242 0.7500 1
Sn1 Sn 0.0000 0.3653 0.2500 1
Sn2 Sn 0.1821 0.0000 0.0000 1
```

Output
Energy of formation from the pure elements (eV per atom): -0.2645
DOS(E_F) (states/eV/f.u.): 4.8
Magnetic moment (μB/f.u.): 0.000
Total DFT energy (no corrections) (eV/atom): -5.06


[2]
Below is an optimized crystal structure of LiTh3Sn12, with properties calculated at the PBE level.

Structure (CIF):
```
data_LiTh3Sn12
_cell_length_a 4.7478
_cell_length_b 4.7478
_cell_length_c 18.7548
_cell_angle_alpha 90.00
_cell_angle_beta 90.00
_cell_angle_gamma 90.00
_space_group_name_H-M_alt 'P 4/m m m'
_space_group_IT_number 123
_space_group_name_Hall '-P 4 2'
loop_
_atom_site_label
_atom_site_type_symbol
_atom_site_fract_x
_atom_site_fract_y
_atom_site_fract_z
_atom_site_occupancy
Li1 Li 0.0000 0.0000 0.0000 1
Th1 Th 0.0000 0.0000 0.2504 1
Th2 Th 0.0000 0.0000 0.5000 1
Sn1 Sn 0.0000 0.5000 0.1177 1
Sn2 Sn 0.0000 0.5000 0.3742 1
Sn3 Sn 0.5000 0.5000 0.0000 1
Sn4 Sn 0.5000 0.5000 0.2454 1
Sn5 Sn 0.5000 0.5000 0.5000 1
```

Output
Energy of formation from the pure elements (eV per atom): -0.3636
DOS(E_F) (states/eV/f.u.): 8.4
Magnetic moment (μB/f.u.): 0.000
Total DFT energy (no corrections) (eV/atom): -4.88


[3]
Below is an optimized crystal structure of LiTh5Sn5, with properties calculated at the PBE level.

Structure (CIF):
```
data_LiTh5Sn5
_cell_length_a 11.9220
_cell_length_b 6.2740
_cell_length_c 10.2343
_cell_angle_alpha 90.00
_cell_angle_beta 117.18
_cell_angle_gamma 90.00
_space_group_name_H-M_alt 'C 1 2/m 1'
_space_group_IT_number 12
loop_
_space_group_symop_operation_xyz
'x,y,z'
'-x,-y,-z'
'-x,y,-z'
'x,-y,z'
'x+1/2,y+1/2,z'
'-x+1/2,-y+1/2,-z'
'-x+1/2,y+1/2,-z'
'x+1/2,-y+1/2,z'
loop_
_atom_site_label
_atom_site_type_symbol
_atom_site_fract_x
_atom_site_fract_y
_atom_site_fract_z
_atom_site_occupancy
Li1 Li 0.0000 0.0000 0.0000 1
Th1 Th 0.0000 0.0000 0.5000 1
Th2 Th 0.1509 0.5000 0.7910 1
Th3 Th 0.1745 0.5000 0.3704 1
Sn1 Sn 0.0000 0.5000 0.0000 1
Sn2 Sn 0.1195 0.0000 0.2872 1
Sn3 Sn 0.1962 0.0000 0.8565 1
```

Output
Energy of formation from the pure elements (eV per atom): -0.1618
DOS(E_F) (states/eV/f.u.): 11.1
Magnetic moment (μB/f.u.): 0.000
Total DFT energy (no corrections) (eV/atom): -5.53


The highest total DFT energy (no corrections) belongs to which entry? LiTh3Sn12